[1]
A plane-wave DFT calculation with GGA-PBEsol was carried out for an optimized crystal structure of In2Cl2F.

Lattice parameters (Å, degrees): 5.3399 5.3399 9.1943 90.00 90.00 90.00
Space group I4/mmm (No. 139)
Symmetry-distinct sites (fractional):
In1 0.0000 0.5000 0.2500 x4
Cl1 0.0000 0.0000 0.1710 x4
F1 0.0000 0.0000 0.5000 x2

Summary:
For the magnetization, the calculation gives 0.00 μB/f.u. The uncorrected energy is -15.375 eV per formula unit. The density of states at the Fermi level is 3.61 states/eV per cell.



[2]
A plane-wave DFT calculation with GGA-PBEsol was carried out for an optimized crystal structure of RbAg7S4.

Lattice parameters (Å, degrees): 10.8006 10.8006 8.2840 90.00 90.00 90.00
Space group P4/n (No. 85, origin choice 2)
Symmetry-distinct sites (fractional):
Rb1 0.2500 0.2500 0.1214 x2
Rb2 0.2500 0.2500 0.6211 x2
Ag1 0.0000 0.0000 0.0000 x4
Ag2 0.0240 0.9623 0.6601 x8
Ag3 0.1094 0.7910 0.3825 x8
Ag4 0.1141 0.7702 0.8781 x8
S1 0.0007 0.6968 0.1329 x8
S2 0.0025 0.3005 0.3741 x8

Summary:
For the magnetization, the calculation gives 0.00 μB/f.u. The uncorrected energy is -44.383 eV per formula unit. The density of states at the Fermi level is 0.43 states/eV per cell.